Density functional theory data (PBE-GGA) for a relaxed structure of BaSnP2.

DFT total energy = -18.2 eV/cell
Energy relative to the elements = -352 meV per atom
Magnetic moment = 0.0 Bohr magnetons per cell

```
data_BaSnP2
_cell_length_a 7.521
_cell_length_b 7.521
_cell_length_c 7.521
_cell_angle_alpha 32.15
_cell_angle_beta 32.15
_cell_angle_gamma 32.15
_symmetry_space_group_name_H-M 'P 1'
_symmetry_Int_Tables_number 1
loop_
_symmetry_equiv_pos_as_xyz
'x,y,z'
loop_
_atom_site_label
_atom_site_fract_x
_atom_site_fract_y
_atom_site_fract_z
Ba1 0.000 0.000 0.000
Sn1 0.500 0.500 0.500
P1 0.233 0.233 0.233
P2 0.767 0.767 0.767
```